# 1
The following is a PBE calculation of an optimized crystal structure of CoSbSeI2, from Alexandria.

Unit cell a=5.154 b=5.154 c=5.006 alpha=90.00 beta=90.00 gamma=90.00
Element x y z (fractional)
Se  0.500  0.500  0.500
I  0.500  0.000  0.000
Sb  0.000  0.000  0.500
Co  0.000  0.000  0.000
I  0.000  0.500  0.000

As for the density: 6413 kg/m3.

---

# 2
The following is a PBE calculation of an optimized crystal structure of AlTeRh2, from Alexandria.

Unit cell a=4.569 b=4.569 c=4.569 alpha=60.00 beta=60.00 gamma=60.00
Element x y z (fractional)
Te  0.750  0.750  0.750
Rh  0.250  0.250  0.250
Rh  0.000  0.000  0.000
Al  0.500  0.500  0.500

As for the density: 8875 kg/m3.

---

# 3
The following is a PBE calculation of an optimized crystal structure of K2BeSb, from Alexandria.

Unit cell a=5.352 b=4.672 c=4.672 alpha=90.00 beta=90.00 gamma=90.00
Element x y z (fractional)
K  0.000  0.500  0.500
K  0.000  0.000  0.000
Be  0.500  0.000  0.500
Sb  0.500  0.500  0.000

As for the density: 2970 kg/m3.

---

These records have formation energy from raw total energies values of 2.39, 0.26, 1.67 eV/f.u., in the order they appear.
These records have raw total energy values of -0.113, -0.196, -0.077 Ha/atom, in the order they appear.
These records have DOS(E_F) values of 1.2204, 0.9605, 0.4535 states/eV/atom, in the order they appear.